Na7Cr4P9O32: relaxed, GGA+U.

Results
Density = 2.9 g/cm³
Raw total energy = -6.960 eV/atom

Lattice parameters (Å, degrees): 6.424 14.259 14.261 90.00 90.35 90.00
Space group P2_1 (No. 4)
Asymmetric unit:
Na (0.087, 0.000, 0.269) x2
Na (0.134, 0.721, 0.845) x2
Na (0.139, 0.240, 0.656) x2
Na (0.250, 0.979, 0.751) x2
Na (0.361, 0.886, 0.490) x2
Na (0.366, 0.075, 0.009) x2
Na (0.413, 0.462, 0.769) x2
Cr (0.123, 0.671, 0.129) x2
Cr (0.128, 0.288, 0.370) x2
Cr (0.374, 0.360, 0.058) x2
Cr (0.375, 0.601, 0.441) x2
P (0.109, 0.094, 0.502) x2
P (0.112, 0.865, 0.997) x2
P (0.137, 0.534, 0.950) x2
P (0.149, 0.426, 0.549) x2
P (0.250, 0.480, 0.249) x2
P (0.352, 0.780, 0.304) x2
P (0.362, 0.180, 0.196) x2
P (0.387, 0.733, 0.635) x2
P (0.392, 0.228, 0.864) x2
O (0.064, 0.988, 0.466) x2
O (0.066, 0.622, 0.431) x2
O (0.067, 0.339, 0.069) x2
O (0.072, 0.972, 0.033) x2
O (0.080, 0.629, 0.996) x2
O (0.090, 0.331, 0.504) x2
O (0.100, 0.543, 0.190) x2
O (0.104, 0.416, 0.309) x2
O (0.126, 0.152, 0.413) x2
O (0.129, 0.806, 0.085) x2
O (0.159, 0.547, 0.845) x2
O (0.170, 0.729, 0.257) x2
O (0.175, 0.415, 0.654) x2
O (0.176, 0.227, 0.244) x2
O (0.187, 0.791, 0.643) x2
O (0.192, 0.170, 0.854) x2
O (0.310, 0.085, 0.560) x2
O (0.310, 0.874, 0.939) x2
O (0.324, 0.487, 0.997) x2
O (0.325, 0.885, 0.316) x2
O (0.330, 0.474, 0.499) x2
O (0.341, 0.075, 0.184) x2
O (0.370, 0.645, 0.576) x2
O (0.374, 0.317, 0.923) x2
O (0.397, 0.540, 0.313) x2
O (0.399, 0.421, 0.186) x2
O (0.414, 0.735, 0.399) x2
O (0.416, 0.226, 0.101) x2
O (0.427, 0.698, 0.742) x2
O (0.431, 0.661, 0.109) x2
O (0.435, 0.300, 0.391) x2
O (0.437, 0.266, 0.759) x2